1.
Sm5Tm3Sb8 | the Alexandria database | PBE-GGA | optimized geometry; uncorrected formation energy = -1.1311 eV/atom; SG = R-3m, No. 166; N(E_F) = 2.483 states/eV/cell
1.0
4.424 2.554 7.217
-4.424 2.554 7.217
0.000 -5.108 7.217
Sm Tm Sb
5 3 8
Cartesian
0.000 0.000 0.000 Sm
-2.212 -1.277 7.217 Sm
-2.212 1.277 14.435 Sm
0.000 2.554 7.217 Sm
0.000 0.000 10.826 Sm
-4.424 0.000 10.826 Tm
-2.212 1.277 3.609 Tm
2.212 1.277 3.609 Tm
-2.239 -1.293 12.586 Sb
0.000 0.000 5.347 Sb
0.000 -2.585 9.066 Sb
-2.239 1.293 9.066 Sb
2.239 -1.293 12.586 Sb
0.000 2.585 12.586 Sb
0.000 0.000 16.305 Sb
2.239 1.293 9.066 Sb

2.
InGePb | the Alexandria database | PBE-GGA | optimized geometry; ΔE_f = 173 meV/atom; SG = F-43m, No. 216; N(E_F) = 15.521 states/eV/cell
1.0
7.082 0.000 0.000
0.000 7.082 0.000
0.000 0.000 7.082
In Ge Pb
4 4 4
Cartesian
0.000 0.000 0.000 In
0.000 3.541 3.541 In
3.541 0.000 3.541 In
3.541 3.541 0.000 In
1.771 1.771 5.312 Ge
1.771 5.312 1.771 Ge
5.312 1.771 1.771 Ge
5.312 5.312 5.312 Ge
0.000 0.000 3.541 Pb
0.000 3.541 0.000 Pb
3.541 0.000 0.000 Pb
3.541 3.541 3.541 Pb

3.
Cr2CdPd | the Alexandria database | PBE-GGA | optimized geometry; ΔE_f = 957 meV/atom; SG = I-42d, No. 122; N(E_F) = 26.147 states/eV/cell
1.0
7.122 0.000 0.000
0.000 7.122 0.000
0.000 0.000 5.113
Cr Cd Pd
8 4 4
Cartesian
1.596 1.781 0.639 Cr
1.781 5.157 1.917 Cr
1.781 5.526 4.474 Cr
1.965 1.781 3.195 Cr
5.157 5.342 3.195 Cr
5.342 1.596 4.474 Cr
5.342 1.965 1.917 Cr
5.526 5.342 0.639 Cr
0.000 0.000 2.556 Cd
0.000 3.561 3.835 Cd
3.561 0.000 1.278 Cd
3.561 3.561 0.000 Cd
0.000 0.000 0.000 Pd
0.000 3.561 1.278 Pd
3.561 0.000 3.835 Pd
3.561 3.561 2.556 Pd

4.
Er3Si | the Alexandria database | PBE-GGA | optimized geometry; uncorrected formation energy = -0.3118 eV/atom; SG = Immm, No. 71; N(E_F) = 8.743 states/eV/cell
1.0
3.806 0.000 0.000
0.000 4.968 0.000
0.000 0.000 10.866
Er Si
6 2
Cartesian
0.000 0.000 0.000 Er
0.000 2.484 2.242 Er
0.000 2.484 8.624 Er
1.903 0.000 3.191 Er
1.903 0.000 7.675 Er
1.903 2.484 5.433 Er
0.000 0.000 5.433 Si
1.903 2.484 0.000 Si

5.
CaEuSnSb | the Alexandria database | PBE-GGA | optimized geometry; uncorrected formation energy = -0.6720 eV/atom; SG = F-43m, No. 216; N(E_F) = 12.480 states/eV/cell
1.0
7.819 0.000 0.000
0.000 7.819 0.000
0.000 0.000 7.819
Ca Eu Sn Sb
4 4 4 4
Cartesian
0.000 0.000 0.000 Ca
0.000 3.909 3.909 Ca
3.909 0.000 3.909 Ca
3.909 3.909 0.000 Ca
0.000 0.000 3.909 Eu
0.000 3.909 0.000 Eu
3.909 0.000 0.000 Eu
3.909 3.909 3.909 Eu
1.955 1.955 1.955 Sn
1.955 5.864 5.864 Sn
5.864 1.955 5.864 Sn
5.864 5.864 1.955 Sn
1.955 1.955 5.864 Sb
1.955 5.864 1.955 Sb
5.864 1.955 1.955 Sb
5.864 5.864 5.864 Sb

6.
TaMnV2 | the Alexandria database | PBE-GGA | optimized geometry; ΔE_f = 422 meV/atom; SG = I-42d, No. 122; N(E_F) = 15.121 states/eV/cell
1.0
6.777 0.000 0.000
0.000 6.777 0.000
0.000 0.000 5.153
Ta Mn V
4 4 8
Cartesian
0.000 0.000 0.000 Ta
0.000 3.389 1.288 Ta
3.389 0.000 3.865 Ta
3.389 3.389 2.577 Ta
0.000 0.000 2.577 Mn
0.000 3.389 3.865 Mn
3.389 0.000 1.288 Mn
3.389 3.389 0.000 Mn
1.419 5.083 3.221 V
1.694 1.419 1.932 V
1.694 1.969 4.509 V
1.969 5.083 0.644 V
4.808 1.694 0.644 V
5.083 4.808 4.509 V
5.083 5.358 1.932 V
5.358 1.694 3.221 V